(1)
This record from Alexandria via LeMat-Bulk describes crystalline KYZr at its relaxed geometry. The functional is GGA-PBE.

Properties
- energy above the most stable polymorph in this dataset (kJ/mol of atoms) = 25.74
- calculated formation energy (eV per atom) = 0.43
- space group = P1 (1)

a b c (Å): 9.8630 3.4494 6.0134
angles (deg): 90.31 82.10 96.65
Closest atoms and distances in Å follow each position.
Element x y z (fractional)
Y 0.2299 0.8478 0.6421  3 Zr 3.22, 6 Y 3.45-3.48
Y 0.2360 0.3486 0.1417  3 Zr 3.23, 6 Y 3.45-3.48
K 0.8466 0.0462 0.5042  6 K 3.45-3.48
K 0.8452 0.5453 0.0060  6 K 3.45-3.48
Zr 0.4952 0.9343 0.2607  3 Y 3.22-3.23, 6 Zr 3.36-3.58
Zr 0.4927 0.4354 0.7417  3 Y 3.22-3.23, 6 Zr 3.36-3.58

---

(2)
This record from Alexandria via LeMat-Bulk describes crystalline Al2Si2O11 at its relaxed geometry. The functional is GGA-PBE.

Properties
- energy above the most stable polymorph in this dataset (kJ/mol of atoms) = 42.63
- space group = Cm (8)
- formation energy (no corrections) (meV per atom) = -1365

a b c (Å): 5.2650 5.2650 9.7501
angles (deg): 84.38 84.38 118.72
Closest atoms and distances in Å follow each position.
Element x y z (fractional)
Al 0.5016 0.8397 0.0212  6 O 1.86-1.87
Al 0.8397 0.5016 0.0212  6 O 1.86-1.87
Si 0.8908 0.2486 0.5399  4 O 1.63-1.66
Si 0.2486 0.8908 0.5399  4 O 1.63-1.66
O 0.1340 0.7558 0.1130  2 Al 1.87
O 0.7558 0.1340 0.1130  2 Al 1.87
O 0.8155 0.8155 0.9286  2 Al 1.87
O 0.8973 0.3552 0.3728  1 Si 1.66
O 0.3552 0.8973 0.3728  1 Si 1.66
O 0.5909 0.2073 0.9297  2 Al 1.86
O 0.2073 0.5909 0.9297  2 Al 1.86
O 0.5266 0.5266 0.1146  2 Al 1.87
O 0.0650 0.0650 0.5590  2 Si 1.63
O 0.5443 0.0422 0.6129  2 Si 1.64
O 0.0422 0.5443 0.6129  2 Si 1.64

---

(3)
This record from Alexandria via LeMat-Bulk describes crystalline Li2Mg5Sc at its relaxed geometry. The functional is GGA-PBE.

Properties
- calculated formation energy (eV per atom) = 0.06
- space group = I4/mcm (140)

a b c (Å): 7.6367 7.6367 8.1456
angles (deg): 117.95 117.95 90.00
Closest atoms and distances in Å follow each position.
Element x y z (fractional)
Li 0.1493 0.3507 0.0000  8 Mg 2.86-2.96
Li 0.6493 0.1493 0.0000  8 Mg 2.86-2.96
Li 0.3507 0.8507 0.0000  8 Mg 2.86-2.96
Li 0.8507 0.6493 0.0000  8 Mg 2.86-2.96
Mg 0.4969 0.6953 0.6923  3 Li 2.86-2.96, 2 Sc 3.13, 1 Mg 3.18
Mg 0.8047 0.0031 0.3077  3 Li 2.86-2.96, 2 Sc 3.13, 1 Mg 3.18
Mg 0.0000 0.0000 0.0000  4 Li 2.91, 2 Sc 3.05
Mg 0.5000 0.5000 0.0000  4 Li 2.91, 2 Sc 3.05
Mg 0.1953 0.9969 0.6923  3 Li 2.86-2.96, 2 Sc 3.13, 1 Mg 3.18
Mg 0.6953 0.1953 0.6923  3 Li 2.86-2.96, 2 Sc 3.13, 1 Mg 3.18
Mg 0.9969 0.4969 0.6923  3 Li 2.86-2.96, 2 Sc 3.13, 1 Mg 3.18
Mg 0.3047 0.8047 0.3077  3 Li 2.86-2.96, 2 Sc 3.13, 1 Mg 3.18
Mg 0.0031 0.5031 0.3077  3 Li 2.86-2.96, 2 Sc 3.13, 1 Mg 3.18
Mg 0.5031 0.3047 0.3077  3 Li 2.86-2.96, 2 Sc 3.13, 1 Mg 3.18
Sc 0.7500 0.7500 0.5000  10 Mg 3.05-3.13
Sc 0.2500 0.2500 0.5000  10 Mg 3.05-3.13

---

(4)
This record from Alexandria via LeMat-Bulk describes crystalline CuSiNi2 at its relaxed geometry. The functional is GGA-PBE.

Properties
- space group = Cm (8)
- formation energy (no corrections) (meV per atom) = -269

a b c (Å): 4.6064 4.6064 4.1402
angles (deg): 69.10 69.10 33.43
Closest atoms and distances in Å follow each position.
Element x y z (fractional)
Cu 0.7620 0.7620 0.7951  7 Ni 2.45-2.50, 2 Si 2.46, 2 Cu 2.65
Ni 0.0038 0.0038 0.9498  4 Si 2.40-2.52, 3 Cu 2.45-2.50, 5 Ni 2.64-2.66
Ni 0.2338 0.2338 0.3195  3 Si 2.34-2.57, 4 Cu 2.46-2.48
Si 0.5004 0.5004 0.4356  7 Ni 2.34-2.57, 2 Cu 2.46

---

In Ha/atom, the calculated total energy values for the records above are, in order, -0.1815, -0.2287, -0.0811, -0.2036.